Computed, not measured: a relaxed structure of Ti3CuTc at the PBEsol level of DFT.

Structure (POSCAR):
```
Ti3CuTc
1.0
-1.438 4.152 0.545
-2.499 -0.388 -3.635
-3.361 -1.488 2.470
Tc Cu Ti
1 1 3
Cartesian
-3.649 1.138 -0.310
0.000 0.000 0.000
-1.250 -0.194 -1.817
-1.680 -0.744 1.235
-0.719 2.076 0.273
```

## Properties
Total moment, μB/atom: 0.00
VASP energy, eV for the cell shown: -35.87
Calculated formation energy, eV/atom: 0.939